# 1
Sr2TmH12Rh3: optimized geometry, GGA-PBE.

Values from the calculation:
Symmetry: R-3m
Total DFT energy (no corrections), eV/atom: -4.340
Density of states at the Fermi level, states/eV/cell: 2.683

Cell lengths 6.091, 6.091, 6.091 Å; angles 67.69, 67.69, 67.69 degrees
Positions (direct):
Sr: 0.619 0.619 0.619
Sr: 0.381 0.381 0.381
Tm: 0.000 0.000 0.000
H: 0.286 0.286 0.900
H: 0.872 0.872 0.397
H: 0.397 0.872 0.872
H: 0.900 0.286 0.286
H: 0.872 0.397 0.872
H: 0.286 0.900 0.286
H: 0.714 0.714 0.100
H: 0.128 0.128 0.603
H: 0.603 0.128 0.128
H: 0.100 0.714 0.714
H: 0.128 0.603 0.128
H: 0.714 0.100 0.714
Rh: 0.500 0.000 0.000
Rh: 0.000 0.500 0.000
Rh: 0.000 0.000 0.500

# 2
Sr2UH12Rh3: optimized geometry, GGA-PBE.

Values from the calculation:
Symmetry: R-3m
Total DFT energy (no corrections), eV/atom: -4.588
Density of states at the Fermi level, states/eV/cell: 9.074

Cell lengths 6.146, 6.146, 6.146 Å; angles 68.33, 68.33, 68.33 degrees
Each line ends with the local moment (μB).
Positions (direct):
Sr: 0.620 0.620 0.620  0.01
Sr: 0.380 0.380 0.380  0.01
U: 0.000 0.000 0.000  2.40
H: 0.277 0.277 0.904  0.00
H: 0.868 0.868 0.405  0.00
H: 0.405 0.868 0.868  0.00
H: 0.904 0.277 0.277  0.00
H: 0.868 0.405 0.868  0.00
H: 0.277 0.904 0.277  0.00
H: 0.723 0.723 0.096  0.00
H: 0.132 0.132 0.595  0.00
H: 0.595 0.132 0.132  0.00
H: 0.096 0.723 0.723  0.00
H: 0.132 0.595 0.132  0.00
H: 0.723 0.096 0.723  0.00
Rh: 0.500 0.000 0.000  0.04
Rh: 0.000 0.500 0.000  0.04
Rh: 0.000 0.000 0.500  0.04

# 3
Sr2VHRh: optimized geometry, GGA-PBE.

Values from the calculation:
Symmetry: P4/mmm
Total DFT energy (no corrections), eV/atom: -3.973
Density of states at the Fermi level, states/eV/cell: 4.891

Cell lengths 6.047, 6.047, 4.343 Å; angles 90.00, 90.00, 90.00 degrees
Each line ends with the local moment (μB).
Positions (direct):
Sr: 0.000 0.500 0.000  0.07
Sr: 0.500 0.000 0.000  0.07
Rh: 0.000 0.000 0.500  -0.01
H: 0.500 0.500 0.500  0.03
V: 0.000 0.000 0.000  1.83

# 4
Sr2HRhW: optimized geometry, GGA-PBE.

Values from the calculation:
Symmetry: P4/mmm
Total DFT energy (no corrections), eV/atom: -4.560
Density of states at the Fermi level, states/eV/cell: 3.932

Cell lengths 5.878, 3.351, 5.878 Å; angles 90.00, 90.00, 90.00 degrees
Each line ends with the local moment (μB).
Positions (direct):
Sr: 0.000 0.000 0.500  0.01
Sr: 0.500 0.000 0.000  0.02
Rh: 0.000 0.000 0.000  0.13
W: 0.500 0.500 0.500  1.88
H: 0.000 0.500 0.000  0.00

# 5
Sr2YH12Rh3: optimized geometry, GGA-PBE.

Values from the calculation:
Symmetry: R-3m
Total DFT energy (no corrections), eV/atom: -4.447
Density of states at the Fermi level, states/eV/cell: 2.795

Cell lengths 6.141, 6.141, 6.141 Å; angles 67.01, 67.01, 67.01 degrees
Positions (direct):
Sr: 0.618 0.618 0.618
Sr: 0.382 0.382 0.382
Y: 0.000 0.000 0.000
H: 0.285 0.285 0.899
H: 0.871 0.871 0.405
H: 0.405 0.871 0.871
H: 0.899 0.285 0.285
H: 0.871 0.405 0.871
H: 0.285 0.899 0.285
H: 0.715 0.715 0.101
H: 0.129 0.129 0.595
H: 0.595 0.129 0.129
H: 0.101 0.715 0.715
H: 0.129 0.595 0.129
H: 0.715 0.101 0.715
Rh: 0.500 0.000 0.000
Rh: 0.000 0.500 0.000
Rh: 0.000 0.000 0.500

# 6
Sr2ZnH12Rh3: optimized geometry, GGA-PBE.

Values from the calculation:
Symmetry: R-3m
Total DFT energy (no corrections), eV/atom: -4.007
Density of states at the Fermi level, states/eV/cell: 2.752

Cell lengths 6.013, 6.013, 6.013 Å; angles 64.95, 64.95, 64.95 degrees
Positions (direct):
Sr: 0.624 0.624 0.624
Sr: 0.376 0.376 0.376
Zn: 0.000 0.000 0.000
H: 0.326 0.326 0.903
H: 0.896 0.896 0.356
H: 0.356 0.896 0.896
H: 0.903 0.326 0.326
H: 0.896 0.356 0.896
H: 0.326 0.903 0.326
H: 0.674 0.674 0.097
H: 0.104 0.104 0.644
H: 0.644 0.104 0.104
H: 0.097 0.674 0.674
H: 0.104 0.644 0.104
H: 0.674 0.097 0.674
Rh: 0.500 0.000 0.000
Rh: 0.000 0.500 0.000
Rh: 0.000 0.000 0.500

- Which value of density of states at the Fermi level does entry 6 give?
  2.752 states/eV/cell